# 1
# KNaLa2

A geometry-optimized KNaLa2 structure (PBEsol, the Alexandria database).

Unit cell a=8.526 b=8.526 c=8.526 alpha=90.00 beta=90.00 gamma=90.00
Space group Fm-3m (No. 225)
Unique sites:
1 K 0.000 0.000 0.000 (multiplicity 4)
2 Na 0.000 0.000 0.500 (multiplicity 4)
3 La 0.250 0.250 0.250 (multiplicity 8)

Results
The formation energy comes out at 0.614 eV per atom. As for the volume: 620 Å³ per cell.



# 2
# KNa2LaNb

A geometry-optimized KNa2LaNb structure (PBEsol, the Alexandria database).

Unit cell a=5.932 b=5.932 c=6.049 alpha=90.00 beta=90.00 gamma=90.00
Space group P4/mmm (No. 123)
Unique sites:
1 K 0.000 0.000 0.000 (multiplicity 1)
2 Na 0.000 0.500 0.500 (multiplicity 2)
3 La 0.000 0.000 0.500 (multiplicity 1)
4 Nb 0.500 0.500 0.000 (multiplicity 1)

Results
The formation energy comes out at 1.991 eV per atom. As for the volume: 213 Å³ per cell.



# 3
# KNaLaNbO5

A geometry-optimized KNaLaNbO5 structure (PBEsol, the Alexandria database).

Unit cell a=5.773 b=5.773 c=8.303 alpha=90.00 beta=90.00 gamma=90.00
Space group P4/nmm (No. 129, origin choice 2)
Unique sites:
1 K 0.250 0.750 0.000 (multiplicity 2)
2 Na 0.250 0.250 0.242 (multiplicity 2)
3 La 0.250 0.750 0.500 (multiplicity 2)
4 Nb 0.250 0.250 0.745 (multiplicity 2)
5 O 0.020 0.020 0.673 (multiplicity 8)
6 O 0.250 0.250 0.969 (multiplicity 2)

Results
The calculation puts the energy relative to the elements, uncorrected at -256.4 kJ per mole of atoms. As for the volume: 277 Å³ per cell.



# 4
# KLa3Nb

A geometry-optimized KLa3Nb structure (PBEsol, the Alexandria database).

Unit cell a=5.373 b=5.373 c=5.373 alpha=90.00 beta=90.00 gamma=90.00
Space group Pm-3m (No. 221)
Unique sites:
1 K 0.000 0.000 0.000 (multiplicity 1)
2 La 0.000 0.000 0.500 (multiplicity 3)
3 Nb 0.500 0.500 0.500 (multiplicity 1)

Results
The formation energy comes out at 1.578 eV per atom. As for the volume: 155 Å³ per cell.



# 5
# K2LaNbS

A geometry-optimized K2LaNbS structure (PBEsol, the Alexandria database).

Unit cell a=7.216 b=7.216 c=5.152 alpha=90.00 beta=90.00 gamma=90.00
Space group P4/mmm (No. 123)
Unique sites:
1 K 0.000 0.500 0.000 (multiplicity 2)
2 La 0.000 0.000 0.000 (multiplicity 1)
3 Nb 0.500 0.500 0.500 (multiplicity 1)
4 S 0.000 0.000 0.500 (multiplicity 1)

Results
The calculation puts the energy relative to the elements, uncorrected at 103.7 kJ per mole of atoms. As for the volume: 268 Å³ per cell.



# 6
# K2LaNi

A geometry-optimized K2LaNi structure (PBEsol, the Alexandria database).

Unit cell a=5.875 b=6.517 c=6.558 alpha=90.00 beta=90.00 gamma=90.00
Space group Cmmm (No. 65)
Unique sites:
1 K 0.000 0.221 0.000 (multiplicity 4)
2 La 0.000 0.500 0.500 (multiplicity 2)
3 Ni 0.000 0.000 0.500 (multiplicity 2)

Results
The formation energy comes out at 0.610 eV per atom. As for the volume: 251 Å³ per cell.



> Which formula does entry 4 have?

KLa3Nb